Material: LiNp2CoO8
Method: DFT, PBE+U
State: relaxed

Values from the calculation:
Total magnetization   0.33 μB per atom
ρ   7.368 g/cm3
Final energy   -200.526 eV per cell

Unit cell a=6.5552 b=6.6206 c=6.9368 alpha=90.00 beta=90.00 gamma=90.00
Closest atoms and distances in Å follow each position.
Space group Cmmm (No. 65)
Symmetry-distinct sites (fractional):
Li 0.0000 0.0000 0.0000 [2 per cell]  6 O 2.07-2.26
Np 0.0000 0.5000 0.2487 [4 per cell]  4 O 1.90-2.13
Co 0.0000 0.0000 0.5000 [2 per cell]  6 O 2.01-2.17
O 0.0000 0.3043 0.5000 [4 per cell]  1 Co 2.01, 2 Np 2.17
O 0.0000 0.3124 0.0000 [4 per cell]  1 Li 2.07, 2 Np 2.13
O 0.2103 0.0000 0.2578 [8 per cell]  1 Np 1.90